one:
# KTaFe2

An optimized crystal structure of KTaFe2 (GGA-PBEsol, Alexandria via LeMat-Bulk).

magnetization	0.943	μB/atom
SG	C2/m, No. 12

a = 8.517 Å, b = 2.908 Å, c = 7.060 Å
α = 90.00°, β = 95.25°, γ = 90.00°
Fractional positions:
K (0.000, 0.000, 0.000)
K (0.500, 0.500, 0.000)
Ta (0.000, 0.500, 0.500)
Ta (0.500, 0.000, 0.500)
Fe (0.233, 0.000, 0.623)
Fe (0.267, 0.500, 0.377)
Fe (0.733, 0.500, 0.623)
Fe (0.767, 0.000, 0.377)



two:
# KTaFe2

An optimized crystal structure of KTaFe2 (GGA-PBEsol, Alexandria via LeMat-Bulk).

magnetization	0.931	μB/atom
SG	F-43m, No. 216

a = 6.295 Å, b = 6.295 Å, c = 6.295 Å
α = 90.00°, β = 90.00°, γ = 90.00°
Fractional positions:
K (0.000, 0.000, 0.000)
K (0.000, 0.500, 0.500)
K (0.500, 0.000, 0.500)
K (0.500, 0.500, 0.000)
Ta (0.250, 0.250, 0.250)
Ta (0.250, 0.750, 0.750)
Ta (0.750, 0.250, 0.750)
Ta (0.750, 0.750, 0.250)
Fe (0.000, 0.000, 0.500)
Fe (0.000, 0.500, 0.000)
Fe (0.250, 0.250, 0.750)
Fe (0.250, 0.750, 0.250)
Fe (0.500, 0.000, 0.000)
Fe (0.500, 0.500, 0.500)
Fe (0.750, 0.250, 0.250)
Fe (0.750, 0.750, 0.750)



Calculated relative energies: one 0.0; two 63.0, given in kJ/mol of atoms



one:
# KTa2Fe

An optimized crystal structure of KTa2Fe (GGA-PBEsol, Alexandria via LeMat-Bulk).

magnetization	0.514	μB/atom
SG	I4/mmm, No. 139

a = 3.920 Å, b = 3.920 Å, c = 9.796 Å
α = 90.00°, β = 90.00°, γ = 90.00°
Fractional positions:
K (0.000, 0.000, 0.000)
K (0.500, 0.500, 0.500)
Ta (0.000, 0.500, 0.250)
Ta (0.000, 0.500, 0.750)
Ta (0.500, 0.000, 0.250)
Ta (0.500, 0.000, 0.750)
Fe (0.000, 0.000, 0.500)
Fe (0.500, 0.500, 0.000)



two:
# KTa2Fe

An optimized crystal structure of KTa2Fe (GGA-PBEsol, Alexandria via LeMat-Bulk).

magnetization	0.515	μB/atom
SG	P4/mmm, No. 123

a = 3.941 Å, b = 3.941 Å, c = 4.902 Å
α = 90.00°, β = 90.00°, γ = 90.00°
Fractional positions:
K (0.000, 0.000, 0.000)
Ta (0.000, 0.500, 0.500)
Ta (0.500, 0.000, 0.500)
Fe (0.500, 0.500, 0.000)



Calculated relative energies: one 0.0; two 1.2, given in kJ/mol of atoms



one:
# KFe2Tc

An optimized crystal structure of KFe2Tc (GGA-PBEsol, Alexandria via LeMat-Bulk).

magnetization	1.083	μB/atom
SG	C2/m, No. 12

a = 8.386 Å, b = 2.651 Å, c = 6.841 Å
α = 90.00°, β = 92.19°, γ = 90.00°
Fractional positions:
K (0.000, 0.000, 0.000)
K (0.500, 0.500, 0.000)
Fe (0.241, 0.000, 0.635)
Fe (0.259, 0.500, 0.365)
Fe (0.741, 0.500, 0.635)
Fe (0.759, 0.000, 0.365)
Tc (0.000, 0.500, 0.500)
Tc (0.500, 0.000, 0.500)



two:
# KFe2Tc

An optimized crystal structure of KFe2Tc (GGA-PBEsol, Alexandria via LeMat-Bulk).

magnetization	0.958	μB/atom
SG	Pmm2, No. 25

a = 2.635 Å, b = 3.490 Å, c = 7.765 Å
α = 90.00°, β = 90.00°, γ = 90.00°
Fractional positions:
K (0.000, 0.000, 0.000)
Fe (0.000, 0.000, 0.508)
Fe (0.500, 0.500, 0.660)
Tc (0.500, 0.500, 0.362)



Calculated relative energies: one 6.0; two 0.0, given in kJ/mol of atoms